The following is a SCAN calculation of a PBEsol-optimized structure of CoSiAu2, from Alexandria via LeMat-Bulk.

## Properties
Its total magnetization is 1.693 μB/f.u. As for the crystal system: tetragonal. Its formation energy without anion corrections is 0.21 eV per atom. Its space-group type is No. 139. Its volume is 57.7 Å³/f.u. For the energy, the calculation gives -164.78 eV for the cell shown.

Structure (CIF):
```
data_CoSiAu2
_cell_length_a 3.8681
_cell_length_b 3.8681
_cell_length_c 4.7257
_cell_angle_alpha 114.16
_cell_angle_beta 114.16
_cell_angle_gamma 90.00
_symmetry_space_group_name_H-M 'P 1'
_symmetry_Int_Tables_number 1
_symmetry_space_group_name_Hall 'P 1'
loop_
_atom_site_label
_atom_site_type_symbol
_atom_site_fract_x
_atom_site_fract_y
_atom_site_fract_z
_atom_site_occupancy
Si1 Si 0.0000 0.0000 0.0000 1
Au1 Au 0.2500 0.7500 0.5000 1
Au2 Au 0.7500 0.2500 0.5000 1
Co1 Co 0.5000 0.5000 0.0000 1
```

***

The following is a SCAN calculation of a PBEsol-optimized structure of CoSiAu2, from Alexandria via LeMat-Bulk.

## Properties
Its total magnetization is 0.001 μB/f.u. As for the crystal system: monoclinic. Its formation energy without anion corrections is 0.33 eV per atom. Its space-group type is No. 12. Its volume is 58.9 Å³/f.u. For the energy, the calculation gives -164.31 eV for the cell shown.

Structure (CIF):
```
data_CoSiAu2
_cell_length_a 2.8447
_cell_length_b 4.4630
_cell_length_c 5.3376
_cell_angle_alpha 114.70
_cell_angle_beta 105.44
_cell_angle_gamma 90.04
_symmetry_space_group_name_H-M 'P 1'
_symmetry_Int_Tables_number 1
_symmetry_space_group_name_Hall 'P 1'
loop_
_atom_site_label
_atom_site_type_symbol
_atom_site_fract_x
_atom_site_fract_y
_atom_site_fract_z
_atom_site_occupancy
Co1 Co 0.0000 0.5000 0.0000 1
Au1 Au 0.5000 0.0000 0.5000 1
Au2 Au 0.0000 0.5000 0.5000 1
Si1 Si 0.5000 0.0000 0.0000 1
```

***

The following is a SCAN calculation of a PBEsol-optimized structure of CoSiAu2, from Alexandria via LeMat-Bulk.

## Properties
Its total magnetization is 1.646 μB/f.u. As for the crystal system: tetragonal. Its formation energy without anion corrections is 0.21 eV per atom. Its space-group type is No. 119. Its volume is 56.6 Å³/f.u. For the energy, the calculation gives -164.78 eV for the cell shown.

Structure (CIF):
```
data_CoSiAu2
_cell_length_a 3.8195
_cell_length_b 3.8195
_cell_length_c 4.7299
_cell_angle_alpha 113.81
_cell_angle_beta 113.81
_cell_angle_gamma 90.00
_symmetry_space_group_name_H-M 'P 1'
_symmetry_Int_Tables_number 1
_symmetry_space_group_name_Hall 'P 1'
loop_
_atom_site_label
_atom_site_type_symbol
_atom_site_fract_x
_atom_site_fract_y
_atom_site_fract_z
_atom_site_occupancy
Au1 Au 0.7500 0.2500 0.5000 1
Au2 Au 0.0000 0.0000 0.0000 1
Si1 Si 0.2500 0.7500 0.5000 1
Co1 Co 0.5000 0.5000 0.0000 1
```

***

The following is a SCAN calculation of a PBEsol-optimized structure of CoSiAu2, from Alexandria via LeMat-Bulk.

## Properties
Its total magnetization is 1.597 μB/f.u. As for the crystal system: tetragonal. Its formation energy without anion corrections is 0.18 eV per atom. Its space-group type is No. 123. Its volume is 56.7 Å³/f.u. For the energy, the calculation gives -164.91 eV for the cell shown.

Structure (CIF):
```
data_CoSiAu2
_cell_length_a 3.7658
_cell_length_b 3.8797
_cell_length_c 3.8797
_cell_angle_alpha 90.00
_cell_angle_beta 90.00
_cell_angle_gamma 90.00
_symmetry_space_group_name_H-M 'P 1'
_symmetry_Int_Tables_number 1
_symmetry_space_group_name_Hall 'P 1'
loop_
_atom_site_label
_atom_site_type_symbol
_atom_site_fract_x
_atom_site_fract_y
_atom_site_fract_z
_atom_site_occupancy
Co1 Co 0.5000 0.5000 0.5000 1
Au1 Au 0.0000 0.0000 0.5000 1
Au2 Au 0.0000 0.5000 0.0000 1
Si1 Si 0.5000 0.0000 0.0000 1
```

***

The following is a SCAN calculation of a PBEsol-optimized structure of CoSiAu2, from Alexandria via LeMat-Bulk.

## Properties
Its total magnetization is 0.641 μB/f.u. As for the crystal system: orthorhombic. Its formation energy without anion corrections is 0.00 eV per atom. Its space-group type is No. 25. Its volume is 56.0 Å³/f.u. For the energy, the calculation gives -165.65 eV for the cell shown.

Structure (CIF):
```
data_CoSiAu2
_cell_length_a 2.8577
_cell_length_b 2.8952
_cell_length_c 6.7713
_cell_angle_alpha 90.00
_cell_angle_beta 90.00
_cell_angle_gamma 90.00
_symmetry_space_group_name_H-M 'P 1'
_symmetry_Int_Tables_number 1
_symmetry_space_group_name_Hall 'P 1'
loop_
_atom_site_label
_atom_site_type_symbol
_atom_site_fract_x
_atom_site_fract_y
_atom_site_fract_z
_atom_site_occupancy
Au1 Au 0.5000 0.5000 0.2788 1
Au2 Au 0.0000 0.0000 0.9665 1
Co1 Co 0.0000 0.0000 0.5538 1
Si1 Si 0.5000 0.5000 0.7009 1
```

***

The following is a SCAN calculation of a PBEsol-optimized structure of SrCoAu2, from Alexandria via LeMat-Bulk.

## Properties
Its total magnetization is 1.945 μB/f.u. As for the crystal system: orthorhombic. Its space-group type is No. 71. Its volume is 84.3 Å³/f.u. Its excess energy over the best structure of this formula in the dataset is 0 meV per atom. Its formation energy is -261 meV/atom. For the energy, the calculation gives -178.94 eV for the cell shown.

Structure (CIF):
```
data_SrCoAu2
_cell_length_a 4.2242
_cell_length_b 5.0534
_cell_length_c 5.0534
_cell_angle_alpha 63.83
_cell_angle_beta 65.29
_cell_angle_gamma 65.29
_symmetry_space_group_name_H-M 'P 1'
_symmetry_Int_Tables_number 1
_symmetry_space_group_name_Hall 'P 1'
loop_
_atom_site_label
_atom_site_type_symbol
_atom_site_fract_x
_atom_site_fract_y
_atom_site_fract_z
_atom_site_occupancy
Au1 Au 0.1948 0.8052 0.8052 1
Au2 Au 0.8052 0.1948 0.1948 1
Sr1 Sr 0.0000 0.5000 0.5000 1
Co1 Co 0.5000 0.0000 0.0000 1
```

***

The following is a SCAN calculation of a PBEsol-optimized structure of SrCoAu2, from Alexandria via LeMat-Bulk.

## Properties
Its total magnetization is 1.831 μB/f.u. As for the crystal system: orthorhombic. Its space-group type is No. 25. Its volume is 79.6 Å³/f.u. Its excess energy over the best structure of this formula in the dataset is 135 meV per atom. Its formation energy is -126 meV/atom. For the energy, the calculation gives -178.40 eV for the cell shown.

Structure (CIF):
```
data_SrCoAu2
_cell_length_a 3.4590
_cell_length_b 3.4773
_cell_length_c 6.6165
_cell_angle_alpha 90.00
_cell_angle_beta 90.00
_cell_angle_gamma 90.00
_symmetry_space_group_name_H-M 'P 1'
_symmetry_Int_Tables_number 1
_symmetry_space_group_name_Hall 'P 1'
loop_
_atom_site_label
_atom_site_type_symbol
_atom_site_fract_x
_atom_site_fract_y
_atom_site_fract_z
_atom_site_occupancy
Co1 Co 0.0000 0.0000 0.4241 1
Au1 Au 0.0000 0.0000 0.0383 1
Au2 Au 0.5000 0.5000 0.2867 1
Sr1 Sr 0.5000 0.5000 0.7508 1
```

***

The following is a SCAN calculation of a PBEsol-optimized structure of SrCo2Au, from Alexandria via LeMat-Bulk.

## Properties
Its total magnetization is 3.366 μB/f.u. As for the crystal system: tetragonal. Its space-group type is No. 139. Its volume is 67.5 Å³/f.u. Its formation energy is 322 meV/atom. For the energy, the calculation gives -124.75 eV for the cell shown.

Structure (CIF):
```
data_SrCo2Au
_cell_length_a 4.1415
_cell_length_b 4.1415
_cell_length_c 4.9077
_cell_angle_alpha 114.96
_cell_angle_beta 114.96
_cell_angle_gamma 90.00
_symmetry_space_group_name_H-M 'P 1'
_symmetry_Int_Tables_number 1
_symmetry_space_group_name_Hall 'P 1'
loop_
_atom_site_label
_atom_site_type_symbol
_atom_site_fract_x
_atom_site_fract_y
_atom_site_fract_z
_atom_site_occupancy
Co1 Co 0.7500 0.2500 0.5000 1
Co2 Co 0.2500 0.7500 0.5000 1
Au1 Au 0.0000 0.0000 0.0000 1
Sr1 Sr 0.5000 0.5000 0.0000 1
```

***

The following is a SCAN calculation of a PBEsol-optimized structure of SrCoAu2, from Alexandria via LeMat-Bulk.

## Properties
Its total magnetization is 1.797 μB/f.u. As for the crystal system: orthorhombic. Its space-group type is No. 65. Its volume is 74.9 Å³/f.u. Its excess energy over the best structure of this formula in the dataset is 183 meV per atom. Its formation energy is -78 meV/atom. For the energy, the calculation gives -178.20 eV for the cell shown.

Structure (CIF):
```
data_SrCoAu2
_cell_length_a 4.0929
_cell_length_b 4.2789
_cell_length_c 4.2789
_cell_angle_alpha 90.26
_cell_angle_beta 90.00
_cell_angle_gamma 90.00
_symmetry_space_group_name_H-M 'P 1'
_symmetry_Int_Tables_number 1
_symmetry_space_group_name_Hall 'P 1'
loop_
_atom_site_label
_atom_site_type_symbol
_atom_site_fract_x
_atom_site_fract_y
_atom_site_fract_z
_atom_site_occupancy
Au1 Au 0.0000 0.0000 0.5000 1
Au2 Au 0.0000 0.5000 0.0000 1
Sr1 Sr 0.5000 0.5000 0.5000 1
Co1 Co 0.5000 0.0000 0.0000 1
```

***

The following is a SCAN calculation of a PBEsol-optimized structure of SrCo2Au, from Alexandria via LeMat-Bulk.

## Properties
Its total magnetization is 3.160 μB/f.u. As for the crystal system: monoclinic. Its space-group type is No. 12. Its volume is 67.1 Å³/f.u. Its formation energy is 518 meV/atom. For the energy, the calculation gives -123.97 eV for the cell shown.

Structure (CIF):
```
data_SrCo2Au
_cell_length_a 2.8622
_cell_length_b 5.2088
_cell_length_c 5.3402
_cell_angle_alpha 117.28
_cell_angle_beta 102.39
_cell_angle_gamma 96.28
_symmetry_space_group_name_H-M 'P 1'
_symmetry_Int_Tables_number 1
_symmetry_space_group_name_Hall 'P 1'
loop_
_atom_site_label
_atom_site_type_symbol
_atom_site_fract_x
_atom_site_fract_y
_atom_site_fract_z
_atom_site_occupancy
Co1 Co 0.0000 0.0000 0.5000 1
Co2 Co 0.5000 0.5000 0.5000 1
Au1 Au 0.0000 0.5000 0.0000 1
Sr1 Sr 0.5000 0.0000 0.0000 1
```

***

Look up the total magnetization of the ninth one.
1.797 μB/f.u.